No. 1
A plane-wave DFT calculation with GGA-PBE was carried out for a relaxed structure of Tb6PrNd2Ho.

magnetization = 0.00 μB per formula unit
V = 666 Å³/cell
space-group type = C2/c, No. 15
E_tot = -4.552 eV per atom
formation energy = 116 meV per atom

```
Tb6PrNd2Ho
1.0
4.5552 -7.5714 0.0000
4.5552 7.5714 0.0000
-1.4503 0.0000 9.6583
Tb Pr Nd Ho
12 2 4 2
direct
0.0191 0.5712 0.1862
0.1225 0.7416 0.5571
0.2584 0.8775 0.9429
0.2951 0.5079 0.3806
0.4288 0.9809 0.3138
0.4921 0.7049 0.1194
0.5079 0.2951 0.8806
0.5712 0.0191 0.6862
0.7049 0.4921 0.6194
0.7416 0.1225 0.0571
0.8775 0.2584 0.4429
0.9809 0.4288 0.8138
0.0186 0.9814 0.2500
0.9814 0.0186 0.7500
0.1959 0.2976 0.0431
0.2976 0.1959 0.5431
0.7024 0.8041 0.4569
0.8041 0.7024 0.9569
0.4075 0.5925 0.7500
0.5925 0.4075 0.2500
```


No. 2
A plane-wave DFT calculation with GGA-PBE was carried out for a relaxed structure of U2Br4F3.

magnetization = 5.00 μB per formula unit
V = 227 Å³/cell
space-group type = C2/m, No. 12
E_tot = -6.055 eV per atom

```
U2Br4F3
1.0
7.8634 -1.9451 0.0000
7.8634 1.9451 0.0000
-2.2293 0.0000 7.4128
U Br F
2 4 3
direct
0.1016 0.1016 0.4464
0.8984 0.8984 0.5536
0.0701 0.0701 0.8107
0.2663 0.2663 0.3102
0.7337 0.7337 0.6898
0.9299 0.9299 0.1893
0.3933 0.3933 0.7069
0.5000 0.5000 0.5000
0.6067 0.6067 0.2931
```


No. 3
A plane-wave DFT calculation with GGA-PBE was carried out for a relaxed structure of Er4CdCuHg2.

magnetization = 0.00 μB per formula unit
V = 193 Å³/cell
space-group type = R-3m, No. 166
E_tot = -3.362 eV per atom
formation energy = -379 meV per atom

```
Er4CdCuHg2
1.0
2.5776 1.4882 8.3808
-2.5776 1.4882 8.3808
0.0000 -2.9764 8.3808
Er Cd Cu Hg
4 1 1 2
direct
0.1187 0.1187 0.1187
0.3698 0.3698 0.3698
0.6302 0.6302 0.6302
0.8813 0.8813 0.8813
0.5000 0.5000 0.5000
0.0000 0.0000 0.0000
0.2457 0.2457 0.2457
0.7543 0.7543 0.7543
```